Entry 1:
Material: CdSb2As
Method: DFT, GGA-PBE
State: optimized geometry

The energy above the most stable polymorph in this dataset comes out at 114 meV per atom. As for the raw formation energy: 0.63 eV/f.u. The density of states at the Fermi level is 0.542 states/eV/atom. Its size of the total moment is 0.000 Bohr magnetons per cell. As for the electronic total energy: -3.2961 eV per atom. Its volume is 205.9 Å³ per cell.

The structure belongs to space group Immm (No. 71); the cell edges are 3.967, 4.321 and 12.012 Å and the angles 90.00°, 90.00° and 90.00°. The distinct sites, in fractional coordinates, are Cd at (0.000, 0.000, 0.000), Sb at (0.000, 0.500, 0.193) and As at (0.000, 0.000, 0.500).

***

Entry 2:
Material: Sc6Pd3Pt
Method: DFT, GGA-PBE
State: optimized geometry

The density of states at the Fermi level is 0.837 states/eV/atom. Its size of the total moment is 0.000 Bohr magnetons per cell. As for the electronic total energy: -6.6225 eV per atom. The formation energy from the elements comes out at -661.6 meV per atom. Its volume is 428.3 Å³ per cell.

The structure belongs to space group P2_1/c (No. 14); the cell edges are 6.540, 7.153 and 11.206 Å and the angles 90.00°, 125.20° and 90.00°. The distinct sites, in fractional coordinates, are Sc at (0.060, 0.057, 0.250), Sc at (0.214, 0.669, 0.065), Sc at (0.412, 0.167, 0.063), Pd at (0.311, 0.128, 0.751), Pd at (0.500, 0.000, 0.500) and Pt at (0.000, 0.000, 0.000).

***

Entry 3:
Material: Cs2Na12Hg7
Method: DFT, GGA-PBE
State: optimized geometry

The density of states at the Fermi level is 0.445 states/eV/atom. Its size of the total moment is 0.000 Bohr magnetons per cell. As for the electronic total energy: -1.1098 eV per atom. The formation energy from the elements comes out at -174.2 meV per atom. Its volume is 716.0 Å³ per cell.

The structure belongs to space group P-6 (No. 174); the cell edges are 12.9584, 12.9584 and 4.9236 Å and the angles 90.00°, 90.00° and 120.00°. The distinct sites, in fractional coordinates, are Cs at (0.0000, 0.0000, 0.0000), Cs at (0.3333, 0.6667, 0.5000), Na at (0.0491, 0.2863, 0.5000), Na at (0.0979, 0.7134, 0.0000), Na at (0.3922, 0.1801, 0.0000), Na at (0.5480, 0.4278, 0.5000), Hg at (0.0707, 0.4559, 0.0000), Hg at (0.2591, 0.2153, 0.5000) and Hg at (0.6667, 0.3333, 0.0000).

***

Entry 4:
Material: Cd6SiO8
Method: DFT, GGA-PBE
State: optimized geometry

As for the raw formation energy: -19.81 eV/f.u. The density of states at the Fermi level is 0.075 states/eV/atom. Its size of the total moment is 0.000 Bohr magnetons per cell. As for the electronic total energy: -4.6929 eV per atom. Its volume is 816.2 Å³ per cell.

The structure belongs to space group Fm-3m (No. 225); the cell edges are 9.346, 9.346 and 9.346 Å and the angles 90.00°, 90.00° and 90.00°. The distinct sites, in fractional coordinates, are Cd at (0.000, 0.250, 0.250), Si at (0.000, 0.000, 0.000), O at (0.000, 0.000, 0.199) and O at (0.250, 0.250, 0.250).

***

Entry 5:
Material: InIrSe2
Method: DFT, GGA-PBE
State: optimized geometry

As for the raw formation energy: -0.78 eV/f.u. The density of states at the Fermi level is 0.245 states/eV/atom. Its size of the total moment is 0.000 Bohr magnetons per cell. As for the electronic total energy: -4.8362 eV per atom. Its volume is 181.4 Å³ per cell.

The structure belongs to space group Cm (No. 8); the cell edges are 10.139, 3.672 and 5.172 Å and the angles 90.00°, 109.61° and 90.00°. The distinct sites, in fractional coordinates, are In at (0.000, 0.000, 0.000), Ir at (0.225, 0.500, 0.971), Se at (0.158, 0.000, 0.625) and Se at (0.320, 0.000, 0.308).